# PmNpPa2N4 PBE optimized geometry
# raw total energy = -10.208 eV/atom
data_PmNpPa2N4
_space_group_name_H-M_alt 'P 1 2/m 1'
_space_group_IT_number 10
_space_group_name_Hall '-P 2y'
_cell_length_a 6.078
_cell_length_b 3.526
_cell_length_c 6.121
_cell_angle_alpha 90.00
_cell_angle_beta 109.68
_cell_angle_gamma 90.00
loop_
_atom_site_label
_atom_site_fract_x
_atom_site_fract_y
_atom_site_fract_z
Pm1 0.000 0.000 0.000
Np1 0.000 0.500 0.500
Pa1 0.500 0.000 0.500
Pa2 0.500 0.500 0.000
N1 0.265 0.000 0.750
N2 0.272 0.500 0.263